The following is a PBE calculation of NaCa3Pm2S6 after structural relaxation, from Alexandria.

Lattice parameters (Å, degrees): 9.0340 9.0340 8.1245 103.00 103.00 25.82
Closest atoms and distances in Å follow each position.
Fractional coordinates of all 12 atoms:
Na 0.0000 0.0000 0.0000  6 S 2.91-2.92
Ca 0.0000 0.0000 0.5000  6 S 2.82-2.88
Ca 0.3373 0.3373 0.1641  6 S 2.82-2.89
Ca 0.6627 0.6627 0.8359  6 S 2.82-2.89
Pm 0.3368 0.3368 0.6715  6 S 2.77-2.89
Pm 0.6632 0.6632 0.3285  6 S 2.77-2.89
S 0.1680 0.1680 0.5840  3 Ca 2.88-2.89, 3 Pm 2.88-2.89
S 0.1706 0.1706 0.0868  2 Pm 2.84, 3 Ca 2.85-2.86, 1 Na 2.92
S 0.4984 0.4984 0.7418  1 Pm 2.77, 3 Ca 2.82, 2 Na 2.91
S 0.5016 0.5016 0.2582  1 Pm 2.77, 3 Ca 2.82, 2 Na 2.91
S 0.8294 0.8294 0.9132  2 Pm 2.84, 3 Ca 2.85-2.86, 1 Na 2.92
S 0.8320 0.8320 0.4160  3 Ca 2.88-2.89, 3 Pm 2.88-2.89

Total energy = -5.46 eV per atom
Volume = 281.0 Å³/cell
Spin magnetization = 0.000 μB/atom
Uncorrected formation energy = -1994 meV per atom